LiAc2NpPt6: optimized geometry, PBE-GGA.

Cell lengths 5.563, 8.775, 6.766 Å; angles 53.85, 65.73, 89.99 degrees
Each line ends with the local moment (μB).
Fractional coordinates of all 10 atoms:
Pt (0.756, 0.759, 0.999)  -0.06
Pt (0.754, 0.597, 0.492)  -0.07
Pt (0.246, 0.759, 0.998)  -0.06
Ac (0.731, 0.180, 0.538)  0.02
Np (0.500, 0.500, 0.000)  2.94
Pt (0.246, 0.403, 0.508)  -0.07
Pt (0.754, 0.241, 0.002)  -0.06
Pt (0.244, 0.241, 0.001)  -0.06
Ac (0.269, 0.820, 0.462)  0.02
Li (0.000, 0.000, 0.000)  0.01

Volume (Å³ per cell): 229.54
N(E_F) (states/eV per atom): 1.14
Space-group type: C2/m
DFT total energy (eV per atom): -6.62
Calculated formation energy (kJ/mol of formula units): -666